#1
A relaxed CaTbIn crystal. Source: Alexandria via LeMat-Bulk, functional GGA-PBE.

Cell and atoms, written as POSCAR:
```
CaTbIn
1.0
5.436 0.000 0.000
-2.718 4.708 0.000
0.000 0.000 6.892
Ca Tb In
2 2 2
Cartesian
0.000 0.000 0.000
0.000 0.000 3.446
0.000 3.139 1.723
2.718 1.569 5.169
0.000 3.139 5.169
2.718 1.569 1.723
```

Computed properties:
As for the space group: P6_3/mmc, No. 194.

=====

#2
A relaxed CaTbIn crystal. Source: Alexandria via LeMat-Bulk, functional GGA-PBE.

Cell and atoms, written as POSCAR:
```
CaTbIn
1.0
-1.769 1.769 15.153
1.769 -1.769 15.153
1.769 1.769 -15.153
Ca Tb In
2 2 2
Cartesian
0.000 0.000 1.875
0.000 0.000 28.431
0.000 0.000 6.262
0.000 0.000 24.044
0.000 0.000 11.078
0.000 0.000 19.228
```

Computed properties:
As for the space group: I4/mmm, No. 139.

=====

So which one is most stable? That would be #1, about 132 meV/atom below the next structure.

=====

#1
A relaxed CaTi3In crystal. Source: Alexandria via LeMat-Bulk, functional GGA-PBE.

Cell and atoms, written as POSCAR:
```
CaTi3In
1.0
4.780 0.000 0.000
0.000 4.780 0.000
0.000 0.000 4.780
Ca Ti In
1 3 1
Cartesian
0.000 0.000 0.000
0.000 0.000 2.390
0.000 2.390 0.000
2.390 0.000 0.000
2.390 2.390 2.390
```

Computed properties:
As for the space group: Pm-3m, No. 221.

=====

#2
A relaxed CaTi3In crystal. Source: Alexandria via LeMat-Bulk, functional GGA-PBE.

Cell and atoms, written as POSCAR:
```
CaTi3In
1.0
5.174 0.000 0.000
0.000 5.174 0.000
0.000 0.000 5.174
Ca Ti In
1 3 1
Cartesian
0.000 0.000 0.000
0.000 2.587 2.587
2.587 0.000 2.587
2.587 2.587 0.000
2.587 2.587 2.587
```

Computed properties:
As for the space group: Pm-3m, No. 221.

=====

So which one is most stable? That would be #2, about 524 meV/atom below the next structure.

=====

#1
A relaxed Ca2Tl2In crystal. Source: Alexandria via LeMat-Bulk, functional GGA-PBE.

Cell and atoms, written as POSCAR:
```
Ca2Tl2In
1.0
-2.510 2.510 6.711
2.510 -2.510 6.711
2.510 2.510 -6.711
Ca Tl In
2 2 1
Cartesian
2.510 0.000 3.355
0.000 2.510 3.355
0.000 0.000 1.385
0.000 0.000 12.037
0.000 0.000 6.711
```

Computed properties:
As for the space group: I4/mmm, No. 139.

=====

#2
A relaxed Ca2Tl2In crystal. Source: Alexandria via LeMat-Bulk, functional GGA-PBE.

Cell and atoms, written as POSCAR:
```
Ca2Tl2In
1.0
8.518 0.000 0.000
0.000 8.518 0.000
0.000 0.000 8.222
Ca Tl In
8 8 4
Cartesian
1.394 2.796 0.000
1.464 2.865 4.111
2.796 7.124 0.000
2.865 7.055 4.111
5.654 1.464 4.111
5.723 1.394 0.000
7.055 5.654 4.111
7.124 5.723 0.000
1.139 5.398 2.056
1.139 5.398 6.167
3.121 1.139 2.056
3.121 1.139 6.167
5.398 7.380 2.056
5.398 7.380 6.167
7.380 3.121 2.056
7.380 3.121 6.167
0.000 0.000 2.474
0.000 0.000 5.749
4.259 4.259 1.638
4.259 4.259 6.585
```

Computed properties:
As for the space group: P4/mnc, No. 128.

=====

#3
A relaxed Ca2Tl2In crystal. Source: Alexandria via LeMat-Bulk, functional GGA-PBE.

Cell and atoms, written as POSCAR:
```
Ca2Tl2In
1.0
8.794 0.000 0.000
0.000 8.794 0.000
0.000 0.000 4.025
Ca Tl In
4 4 2
Cartesian
1.371 3.026 0.000
3.026 7.423 0.000
5.768 1.371 0.000
7.423 5.768 0.000
1.268 5.665 2.013
3.129 1.268 2.013
5.665 7.526 2.013
7.526 3.129 2.013
0.000 0.000 0.000
4.397 4.397 0.000
```

Computed properties:
As for the space group: P4/mbm, No. 127.

=====

#4
A relaxed Ca2Tl2In crystal. Source: Alexandria via LeMat-Bulk, functional GGA-PBE.

Cell and atoms, written as POSCAR:
```
Ca2Tl2In
1.0
8.405 0.000 0.000
0.000 8.405 0.000
0.000 0.000 4.223
Ca Tl In
4 4 2
Cartesian
1.419 2.783 0.000
2.783 6.986 0.000
5.622 1.419 0.000
6.986 5.622 0.000
1.116 5.319 2.111
3.086 1.116 2.111
5.319 7.289 2.111
7.289 3.086 2.111
0.000 0.000 2.111
4.203 4.203 2.111
```

Computed properties:
As for the space group: P4/mbm, No. 127.

=====

So which one is most stable? That would be #2, about 7 meV/atom below the next structure.

=====

#1
A relaxed Ca3Tl4In crystal. Source: Alexandria via LeMat-Bulk, functional GGA-PBE.

Cell and atoms, written as POSCAR:
```
Ca3Tl4In
1.0
5.445 0.000 0.000
0.000 5.445 0.000
0.000 0.000 7.832
Ca Tl In
3 4 1
Cartesian
0.000 0.000 0.000
0.000 0.000 3.916
2.722 2.722 0.000
0.000 2.722 2.004
0.000 2.722 5.828
2.722 0.000 2.004
2.722 0.000 5.828
2.722 2.722 3.916
```

Computed properties:
As for the space group: P4/mmm, No. 123.

=====

#2
A relaxed Ca3Tl4In crystal. Source: Alexandria via LeMat-Bulk, functional GGA-PBE.

Cell and atoms, written as POSCAR:
```
Ca3Tl4In
1.0
-1.848 5.092 6.473
1.848 -5.092 6.473
1.848 5.092 -6.473
Ca Tl In
3 4 1
Cartesian
0.000 0.000 0.000
1.848 0.000 3.765
0.000 5.092 2.708
1.848 2.410 -1.679
1.848 2.410 1.679
0.000 2.681 4.794
0.000 2.681 8.152
0.000 0.000 6.473
```

Computed properties:
As for the space group: Immm, No. 71.

=====

So which one is most stable? That would be #1, about 71 meV/atom below the next structure.

=====

#1
A relaxed Ca8Tl2In crystal. Source: Alexandria via LeMat-Bulk, functional GGA-PBE.

Cell and atoms, written as POSCAR:
```
Ca8Tl2In
1.0
4.793 -7.301 0.000
4.793 7.301 0.000
-1.786 0.000 5.571
Ca Tl In
8 2 1
Cartesian
0.820 1.829 3.278
4.793 3.962 0.000
0.820 -1.829 3.278
3.218 0.000 1.055
4.582 0.000 4.516
6.979 1.829 2.293
4.793 -3.962 0.000
6.979 -1.829 2.293
3.900 2.683 2.786
3.900 -2.683 2.786
0.000 0.000 0.000
```

Computed properties:
As for the space group: C2/m, No. 12.

=====

#2
A relaxed Ca8Tl2In crystal. Source: Alexandria via LeMat-Bulk, functional GGA-PBE.

Cell and atoms, written as POSCAR:
```
Ca8Tl2In
1.0
-2.720 4.125 8.136
2.720 -4.125 8.136
2.720 4.125 -8.136
Ca Tl In
8 2 1
Cartesian
2.720 2.262 -2.535
0.000 0.000 2.574
0.000 2.392 0.000
2.720 2.262 2.535
0.000 1.863 5.601
0.000 5.858 0.000
0.000 0.000 13.697
0.000 1.863 10.671
2.720 0.000 5.128
0.000 4.125 3.008
2.720 0.000 0.000
```

Computed properties:
As for the space group: Immm, No. 71.

=====

So which one is most stable? That would be #2, about 28 meV/atom below the next structure.

=====

#1
A relaxed Ca4Tl5In2 crystal. Source: Alexandria via LeMat-Bulk, functional GGA-PBE.

Cell and atoms, written as POSCAR:
```
Ca4Tl5In2
1.0
9.943 0.000 0.000
0.000 3.740 0.000
-4.759 0.000 8.807
Ca Tl In
4 5 2
Cartesian
1.215 0.000 1.982
-1.064 0.000 6.646
6.247 0.000 2.160
3.969 0.000 6.825
-3.438 1.870 7.984
-0.871 1.870 3.909
2.592 1.870 4.403
6.055 1.870 4.898
8.621 1.870 0.822
3.800 1.870 0.956
1.384 1.870 7.850
```

Computed properties:
As for the space group: P2/m, No. 10.

=====

#2
A relaxed Ca4Tl5In2 crystal. Source: Alexandria via LeMat-Bulk, functional GGA-PBE.

Cell and atoms, written as POSCAR:
```
Ca4Tl5In2
1.0
8.623 0.000 0.000
0.000 3.780 0.000
-0.158 0.000 9.991
Ca Tl In
4 5 2
Cartesian
1.863 0.000 1.322
2.076 0.000 6.201
6.390 0.000 3.790
6.603 0.000 8.669
0.932 1.890 8.757
3.686 1.890 3.461
4.312 1.890 0.000
4.779 1.890 6.530
7.533 1.890 1.234
0.637 1.890 3.741
7.828 1.890 6.250
```

Computed properties:
As for the space group: P2/m, No. 10.

=====

So which one is most stable? That would be #2, about 18 meV/atom below the next structure.